(i)
Compound: LiTa2Mn
Source: the Alexandria database
Functional: PBEsol
Structure: relaxed

Its volume is 114.6 Å³/cell. For the density, the calculation gives 12.276 g/cm3.

a b c (Å): 3.658 3.658 8.566
angles (deg): 90.00 90.00 90.00
Space group I-4m2 (No. 119)
Symmetry-distinct sites (fractional):
Li: 0.000 0.000 0.000
Ta: 0.000 0.000 0.500
Ta: 0.000 0.500 0.750
Mn: 0.000 0.500 0.250

(ii)
Compound: LiTa2Mn
Source: the Alexandria database
Functional: PBEsol
Structure: relaxed

Its volume is 57.1 Å³/cell. For the density, the calculation gives 12.330 g/cm3.

a b c (Å): 3.144 3.144 5.775
angles (deg): 90.00 90.00 90.00
Space group P4mm (No. 99)
Symmetry-distinct sites (fractional):
Li: 0.000 0.000 0.000
Ta: 0.000 0.000 0.447
Ta: 0.500 0.500 0.750
Mn: 0.500 0.500 0.211

What is the stability order? It is (ii), (i), from most stable to least stable.

(i)
Compound: LiMnTc2
Source: the Alexandria database
Functional: PBEsol
Structure: relaxed

Its volume is 104.4 Å³/cell. For the density, the calculation gives 8.202 g/cm3.

a b c (Å): 8.715 2.497 4.808
angles (deg): 90.00 93.79 90.00
Space group Cm (No. 8)
Symmetry-distinct sites (fractional):
Li: 0.000 0.000 0.000
Mn: 0.247 0.000 0.773
Tc: 0.013 0.500 0.503
Tc: 0.252 0.500 0.259

(ii)
Compound: LiMnTc2
Source: the Alexandria database
Functional: PBEsol
Structure: relaxed

Its volume is 192.6 Å³/cell. For the density, the calculation gives 8.892 g/cm3.

a b c (Å): 5.775 5.775 5.775
angles (deg): 90.00 90.00 90.00
Space group Fm-3m (No. 225)
Symmetry-distinct sites (fractional):
Li: 0.000 0.000 0.000
Mn: 0.000 0.000 0.500
Tc: 0.250 0.250 0.250

(iii)
Compound: LiMnTc2
Source: the Alexandria database
Functional: PBEsol
Structure: relaxed

Its volume is 159.0 Å³/cell. For the density, the calculation gives 8.080 g/cm3.

a b c (Å): 2.6287 2.6287 26.5699
angles (deg): 90.00 90.00 120.00
Space group R-3m (No. 166, hexagonal axes)
Symmetry-distinct sites (fractional):
Li: 0.0000 0.0000 0.0000
Mn: 0.0000 0.0000 0.5000
Tc: 0.0000 0.0000 0.2427

What is the stability order? It is (iii), (ii), (i), from most stable to least stable.

(i)
Compound: LiMnW
Source: the Alexandria database
Functional: PBEsol
Structure: relaxed

Its volume is 37.5 Å³/cell. For the density, the calculation gives 10.886 g/cm3.

a b c (Å): 4.1434 4.1434 2.5211
angles (deg): 90.00 90.00 120.00
Space group P3m1 (No. 156)
Symmetry-distinct sites (fractional):
Li: 0.0000 0.0000 0.0000
Mn: 0.3333 0.6667 0.6880
W: 0.6667 0.3333 0.3888

(ii)
Compound: LiMnW
Source: the Alexandria database
Functional: PBEsol
Structure: relaxed

Its volume is 178.1 Å³/cell. For the density, the calculation gives 9.162 g/cm3.

a b c (Å): 5.627 5.627 5.627
angles (deg): 90.00 90.00 90.00
Space group F-43m (No. 216)
Symmetry-distinct sites (fractional):
Li: 0.000 0.000 0.000
Mn: 0.000 0.000 0.500
W: 0.250 0.250 0.750

What is the stability order? It is (i), (ii), from most stable to least stable.

(i)
Compound: Li2Mo
Source: the Alexandria database
Functional: PBEsol
Structure: relaxed

Its volume is 46.5 Å³/cell. For the density, the calculation gives 3.920 g/cm3.

a b c (Å): 2.6712 2.6712 7.5275
angles (deg): 90.00 90.00 120.00
Space group P-3m1 (No. 164)
Symmetry-distinct sites (fractional):
Li: 0.3333 0.6667 0.3224
Mo: 0.0000 0.0000 0.0000

(ii)
Compound: Li2Mo
Source: the Alexandria database
Functional: PBEsol
Structure: relaxed

Its volume is 230.7 Å³/cell. For the density, the calculation gives 3.161 g/cm3.

a b c (Å): 7.159 7.159 4.502
angles (deg): 90.00 90.00 90.00
Space group I4/mcm (No. 140)
Symmetry-distinct sites (fractional):
Li: 0.160 0.340 0.000
Mo: 0.000 0.000 0.250

What is the stability order? It is (i), (ii), from most stable to least stable.

(i)
Compound: LiMoN2
Source: the Alexandria database
Functional: PBEsol
Structure: relaxed

Its volume is 113.3 Å³/cell. For the density, the calculation gives 5.757 g/cm3.

a b c (Å): 2.8755 2.8755 15.8165
angles (deg): 90.00 90.00 120.00
Space group R3m (No. 160, hexagonal axes)
Symmetry-distinct sites (fractional):
Li: 0.0000 0.0000 0.0000
Mo: 0.0000 0.0000 0.1725
N: 0.0000 0.0000 0.4294
N: 0.0000 0.0000 0.5833

(ii)
Compound: LiMoN2
Source: the Alexandria database
Functional: PBEsol
Structure: relaxed

Its volume is 196.4 Å³/cell. For the density, the calculation gives 4.427 g/cm3.

a b c (Å): 4.621 4.621 9.196
angles (deg): 90.00 90.00 90.00
Space group I-42d (No. 122)
Symmetry-distinct sites (fractional):
Li: 0.000 0.000 0.000
Mo: 0.000 0.000 0.500
N: 0.206 0.250 0.625

What is the stability order? It is (i), (ii), from most stable to least stable.

(i)
Compound: LiNi2Mo
Source: the Alexandria database
Functional: PBEsol
Structure: relaxed

Its volume is 47.0 Å³/cell. For the density, the calculation gives 7.774 g/cm3.

a b c (Å): 2.637 2.637 6.765
angles (deg): 90.00 90.00 90.00
Space group P4/mmm (No. 123)
Symmetry-distinct sites (fractional):
Li: 0.000 0.000 0.000
Ni: 0.500 0.500 0.238
Mo: 0.000 0.000 0.500

(ii)
Compound: LiNi2Mo
Source: the Alexandria database
Functional: PBEsol
Structure: relaxed

Its volume is 181.9 Å³/cell. For the density, the calculation gives 8.045 g/cm3.

a b c (Å): 5.666 5.666 5.666
angles (deg): 90.00 90.00 90.00
Space group F-43m (No. 216)
Symmetry-distinct sites (fractional):
Li: 0.000 0.000 0.000
Ni: 0.000 0.000 0.500
Ni: 0.250 0.250 0.250
Mo: 0.250 0.250 0.750

(iii)
Compound: LiNi2Mo
Source: the Alexandria database
Functional: PBEsol
Structure: relaxed

Its volume is 49.4 Å³/cell. For the density, the calculation gives 7.405 g/cm3.

a b c (Å): 2.519 2.519 7.784
angles (deg): 90.00 90.00 90.00
Space group P4mm (No. 99)
Symmetry-distinct sites (fractional):
Li: 0.000 0.000 0.000
Ni: 0.000 0.000 0.446
Ni: 0.500 0.500 0.234
Mo: 0.500 0.500 0.690

What is the stability order? It is (i), (iii), (ii), from most stable to least stable.

(i)
Compound: LiNiMo2
Source: the Alexandria database
Functional: PBEsol
Structure: relaxed

Its volume is 104.0 Å³/cell. For the density, the calculation gives 8.226 g/cm3.

a b c (Å): 3.592 3.592 8.059
angles (deg): 90.00 90.00 90.00
Space group I4/mmm (No. 139)
Symmetry-distinct sites (fractional):
Li: 0.000 0.000 0.000
Ni: 0.000 0.000 0.500
Mo: 0.000 0.500 0.250

(ii)
Compound: LiNiMo2
Source: the Alexandria database
Functional: PBEsol
Structure: relaxed

Its volume is 52.7 Å³/cell. For the density, the calculation gives 8.118 g/cm3.

a b c (Å): 3.099 4.000 4.249
angles (deg): 90.00 90.00 90.00
Space group Pmmm (No. 47)
Symmetry-distinct sites (fractional):
Li: 0.000 0.000 0.000
Ni: 0.500 0.500 0.000
Mo: 0.000 0.500 0.500
Mo: 0.500 0.000 0.500

(iii)
Compound: LiNiMo2
Source: the Alexandria database
Functional: PBEsol
Structure: relaxed

Its volume is 212.1 Å³/cell. For the density, the calculation gives 8.066 g/cm3.

a b c (Å): 5.963 5.963 5.963
angles (deg): 90.00 90.00 90.00
Space group F-43m (No. 216)
Symmetry-distinct sites (fractional):
Li: 0.000 0.000 0.000
Ni: 0.250 0.250 0.250
Mo: 0.000 0.000 0.500
Mo: 0.250 0.250 0.750

(iv)
Compound: LiNiMo2
Source: the Alexandria database
Functional: PBEsol
Structure: relaxed

Its volume is 54.4 Å³/cell. For the density, the calculation gives 7.856 g/cm3.

a b c (Å): 4.801 2.520 4.883
angles (deg): 90.00 112.88 90.00
Space group P2/m (No. 10)
Symmetry-distinct sites (fractional):
Li: 0.000 0.000 0.000
Ni: 0.500 0.500 0.000
Mo: 0.000 0.500 0.500
Mo: 0.500 0.000 0.500

What is the stability order? It is (i), (ii), (iv), (iii), from most stable to least stable.

(i)
Compound: Li2MoO3
Source: the Alexandria database
Functional: PBEsol
Structure: relaxed

Its volume is 213.6 Å³/cell. For the density, the calculation gives 4.908 g/cm3.

a b c (Å): 5.135 8.404 5.210
angles (deg): 90.00 108.22 90.00
Space group C2/m (No. 12)
Symmetry-distinct sites (fractional):
Li: 0.000 0.000 0.000
Li: 0.000 0.162 0.500
Li: 0.000 0.500 0.500
Mo: 0.000 0.357 0.000
O: 0.242 0.000 0.730
O: 0.245 0.327 0.776

(ii)
Compound: Li2MoO3
Source: the Alexandria database
Functional: PBEsol
Structure: relaxed

Its volume is 425.1 Å³/cell. For the density, the calculation gives 4.932 g/cm3.

a b c (Å): 5.747 8.300 10.068
angles (deg): 68.07 73.81 89.88
Space group P-1 (No. 2)
Symmetry-distinct sites (fractional):
Li: 0.000 0.000 0.000
Li: 0.000 0.000 0.500
Li: 0.000 0.500 0.000
Li: 0.000 0.500 0.500
Li: 0.153 0.187 0.151
Li: 0.162 0.659 0.683
Li: 0.327 0.338 0.328
Li: 0.328 0.337 0.837
Li: 0.332 0.832 0.840
Li: 0.500 0.000 0.000
Li: 0.500 0.500 0.500
Mo: 0.135 0.170 0.676
Mo: 0.153 0.684 0.173
Mo: 0.308 0.828 0.326
Mo: 0.500 0.000 0.500
Mo: 0.500 0.500 0.000
O: 0.002 0.747 0.499
O: 0.010 0.747 0.014
O: 0.163 0.416 0.666
O: 0.171 0.435 0.160
O: 0.174 0.932 0.663
O: 0.174 0.945 0.147
O: 0.326 0.584 0.335
O: 0.331 0.066 0.339
O: 0.346 0.098 0.815
O: 0.350 0.579 0.847
O: 0.487 0.738 0.014
O: 0.490 0.244 0.515

(iii)
Compound: Li2MoO3
Source: the Alexandria database
Functional: PBEsol
Structure: relaxed

Its volume is 840.5 Å³/cell. For the density, the calculation gives 4.989 g/cm3.

a b c (Å): 8.253 8.229 12.850
angles (deg): 90.00 105.61 90.00
Space group C2 (No. 5)
Symmetry-distinct sites (fractional):
Li: 0.003 0.000 0.252
Li: 0.080 0.237 0.924
Li: 0.090 0.780 0.419
Li: 0.150 0.027 0.574
Li: 0.168 0.516 0.576
Li: 0.175 0.011 0.089
Li: 0.177 0.500 0.079
Li: 0.246 0.762 0.252
Mo: 0.016 0.490 0.256
Mo: 0.072 0.762 0.930
Mo: 0.084 0.268 0.404
Mo: 0.236 0.268 0.255
O: 0.007 0.749 0.755
O: 0.017 0.242 0.761
O: 0.067 0.516 0.905
O: 0.075 0.989 0.917
O: 0.086 0.036 0.414
O: 0.087 0.517 0.414
O: 0.148 0.273 0.575
O: 0.169 0.775 0.585
O: 0.180 0.756 0.085
O: 0.183 0.257 0.092
O: 0.232 0.523 0.744
O: 0.246 0.009 0.747

What is the stability order? It is (iii), (ii), (i), from most stable to least stable.